A plane-wave DFT calculation with PBEsol was carried out for a geometry-optimized SrY2Hg structure.

a b c (Å): 5.5074 5.5074 5.5074
angles (deg): 60.00 60.00 60.00
Last column: nearest neighbours and their distance in Å.
Sites, in units of the cell vectors:
Hg 0.5000 0.5000 0.5000  4 Sr 3.37, 4 Y 3.37
Y 0.0000 0.0000 0.0000  4 Y 3.37, 4 Sr 3.37
Sr 0.2500 0.2500 0.2500  4 Hg 3.37, 4 Y 3.37
Y 0.7500 0.7500 0.7500  4 Y 3.37, 4 Hg 3.37

Values from the calculation:
The total energy is -15.94 eV/cell. The total magnetization comes out at 0.0000 μB/atom. The value obtained for the formation energy is 0.03 eV per atom. Its density of states at the Fermi level is 0.778 states/eV per atom.